Entry from OQMD via LeMat-Bulk: NdDy4Fe2B6 after structural relaxation (GGA-PBE).

Cell lengths 5.4162, 5.4162, 23.0339 Å; angles 90.00, 90.00, 120.00 degrees
Space group R-3m (No. 166, hexagonal axes)
One atom of each set of equivalent atoms:
Nd (0.0000, 0.0000, 0.0000) x3
Dy (0.0000, 0.0000, 0.2505) x6
Dy (0.0000, 0.0000, 0.4171) x6
Fe (0.0000, 0.0000, 0.1175) x6
B (0.0000, 0.3323, 0.5000) x18

Summary:
As for the total energy: -6.639 eV/atom.

=====

Entry from OQMD via LeMat-Bulk: LaBeCoGe after structural relaxation (GGA-PBE).

Cell lengths 6.5819, 6.5819, 6.5819 Å; angles 90.00, 90.00, 90.00 degrees
Space group F-43m (No. 216)
One atom of each set of equivalent atoms:
La (0.0000, 0.0000, 0.0000) x4
Be (0.0000, 0.0000, 0.5000) x4
Co (0.2500, 0.2500, 0.7500) x4
Ge (0.2500, 0.2500, 0.2500) x4

Summary:
The value obtained for the energy relative to the lowest polymorph listed for this composition is 0.195 eV per atom.

=====

Entry from OQMD via LeMat-Bulk: FeReGeIr after structural relaxation (GGA-PBE).

Cell lengths 6.0762, 6.0762, 6.0762 Å; angles 90.00, 90.00, 90.00 degrees
Space group F-43m (No. 216)
One atom of each set of equivalent atoms:
Fe (0.0000, 0.0000, 0.0000) x4
Re (0.0000, 0.0000, 0.5000) x4
Ge (0.2500, 0.2500, 0.7500) x4
Ir (0.2500, 0.2500, 0.2500) x4

Summary:
The value obtained for the energy relative to the lowest polymorph listed for this composition is 0.000 eV per atom.

=====

Entry from OQMD via LeMat-Bulk: Tb2Y2Al3 after structural relaxation (GGA-PBE).

Cell lengths 12.0556, 4.9679, 6.6551 Å; angles 90.00, 113.45, 90.00 degrees
Space group C2/m (No. 12)
One atom of each set of equivalent atoms:
Tb (0.1805, 0.0000, 0.2962) x4
Y (0.0434, 0.5000, 0.7805) x4
Al (0.0000, 0.0000, 0.5000) x2
Al (0.2159, 0.0000, 0.8349) x4

Summary:
As for the total energy: -4.981 eV/atom.

=====

Entry from OQMD via LeMat-Bulk: Co12Re17 after structural relaxation (GGA-PBE).

Cell lengths 9.1104, 9.1104, 9.1104 Å; angles 90.00, 90.00, 90.00 degrees
Space group I-43m (No. 217)
One atom of each set of equivalent atoms:
Co (0.0889, 0.0889, 0.7249) x24
Re (0.0000, 0.0000, 0.0000) x2
Re (0.0410, 0.3566, 0.6434) x24
Re (0.1783, 0.1783, 0.1783) x8

Summary:
The value obtained for the energy relative to the lowest polymorph listed for this composition is 0.000 eV per atom. The formation enthalpy at 0 K is 0.041 eV per atom.

=====

Entry from OQMD via LeMat-Bulk: HfZn2Co after structural relaxation (GGA-PBE).

Cell lengths 6.1681, 6.1681, 6.1681 Å; angles 90.00, 90.00, 90.00 degrees
Space group F-43m (No. 216)
One atom of each set of equivalent atoms:
Hf (0.0000, 0.0000, 0.0000) x4
Zn (0.0000, 0.0000, 0.5000) x4
Zn (0.2500, 0.2500, 0.2500) x4
Co (0.2500, 0.2500, 0.7500) x4

Summary:
The formation enthalpy at 0 K is -0.149 eV per atom.

=====

no.,spin magnetization (μB/f.u.),volume (Å³/f.u.)
1,0.2,195
2,0.8,71
3,1.2,56
4,0.0,183
5,16.4,378
6,0.0,59